Record 1
DFT (PBE-GGA) results for a geometry-optimized FeTcC2 structure.

POSCAR file:
```
FeTcC2
1.0
-2.222 2.222 4.449
2.222 -2.222 4.449
2.222 2.222 -4.449
Fe Tc C
2 2 4
Cartesian
0.000 0.000 0.000
0.000 2.222 2.225
2.222 0.000 2.225
0.000 0.000 4.449
3.333 1.005 -1.112
1.005 1.111 1.112
-1.111 1.217 3.337
1.217 1.111 5.562
```

---

Record 2
DFT (PBE-GGA) results for a geometry-optimized FeTcC3 structure.

POSCAR file:
```
FeTcC3
1.0
3.977 0.000 0.000
0.000 3.977 0.000
0.000 0.000 3.977
Fe Tc C
1 1 3
Cartesian
0.000 0.000 0.000
1.988 1.988 1.988
0.000 1.988 1.988
1.988 0.000 1.988
1.988 1.988 0.000
```

---

| no. | ΔH_f (0 K) (eV per atom) | total magnetization (μB per formula unit) | energy (eV per atom) |
| --- | --- | --- | --- |
| 1 | 0.54 | 1.000 | -8.782 |
| 2 | 2.08 | 2.779 | -7.219 |